(1)
Density functional theory data (PBE-GGA) for crystalline Fe3Pd6Au at its relaxed geometry.

Summary:
crystal system	monoclinic
calculated total energy	-6.04	eV/atom
total magnetization	22.307	Bohr magnetons per cell
V	14.87	A^3/atom
relative energy among the computed polymorphs	0.0	meV/atom
N(E_F)	9.7	states/eV/f.u.

```
Fe3Pd6Au
1.0
-0.5154 -4.0494 1.8540
7.1733 -1.1830 -0.5896
-2.5694 4.2478 8.5637
Fe Pd Au
6 12 2
Cartesian
2.9385 -0.1126 3.2815 Fe
1.1500 -0.8721 6.5465 Fe
0.5589 1.8407 6.8864 Fe
3.5296 -2.8254 2.9417 Fe
2.8576 2.2060 8.3233 Fe
1.2309 -3.1907 1.5047 Fe
3.0328 -1.2655 0.7895 Pd
1.0557 0.2809 9.0385 Pd
0.6207 -0.4942 1.8036 Pd
3.4678 -0.4904 8.0244 Pd
2.8572 1.0919 5.8898 Pd
1.2313 -2.0765 3.9383 Pd
0.6677 0.6749 4.3704 Pd
3.4208 -1.6596 5.4577 Pd
5.2845 -0.8994 2.2151 Pd
-1.1960 -0.0852 7.6129 Pd
-1.8673 2.6188 7.9114 Pd
5.9558 -3.6035 1.9167 Pd
5.3113 0.2793 4.7971 Au
-1.2228 -1.2639 5.0309 Au
```


(2)
Density functional theory data (PBE-GGA) for crystalline Fe2PdAu at its relaxed geometry.

Summary:
crystal system	tetragonal
calculated total energy	-6.32	eV/atom
total magnetization	6.278	Bohr magnetons per cell
V	14.50	A^3/atom
N(E_F)	3.1	states/eV/f.u.

```
Fe2PdAu
1.0
3.8890 0.0000 0.0000
0.0000 3.8618 0.0000
0.0000 0.0000 3.8618
Au Fe Pd
1 2 1
Cartesian
1.9445 1.9309 1.9309 Au
0.0000 0.0000 1.9309 Fe
0.0000 1.9309 0.0000 Fe
1.9445 0.0000 0.0000 Pd
```


(3)
Density functional theory data (PBE-GGA) for crystalline FePd5Au4 at its relaxed geometry.

Summary:
crystal system	orthorhombic
calculated total energy	-4.57	eV/atom
total magnetization	8.830	Bohr magnetons per cell
V	17.68	A^3/atom
relative energy among the computed polymorphs	266.6	meV/atom
N(E_F)	5.9	states/eV/f.u.

```
FePd5Au4
1.0
6.7816 0.0000 0.0000
0.0000 9.4651 0.0000
0.0000 0.0000 5.5080
Fe Pd Au
2 10 8
Cartesian
5.4111 0.0000 0.0000 Fe
1.3705 4.7326 2.7540 Fe
1.2359 6.6678 4.1825 Pd
1.2359 2.7974 4.1825 Pd
3.0082 4.7326 0.0000 Pd
1.2359 6.6678 1.3255 Pd
1.2359 2.7974 1.3255 Pd
5.5457 7.5299 1.4285 Pd
5.5457 1.9352 1.4285 Pd
3.7734 0.0000 2.7540 Pd
5.5457 1.9352 4.0795 Pd
5.5457 7.5299 4.0795 Pd
0.9829 0.0000 4.1083 Au
3.1996 8.0198 0.0000 Au
3.1996 1.4453 0.0000 Au
0.9829 0.0000 1.3997 Au
5.7987 4.7326 1.3543 Au
3.5820 6.1779 2.7540 Au
3.5820 3.2872 2.7540 Au
5.7987 4.7326 4.1537 Au
```


(4)
Density functional theory data (PBE-GGA) for crystalline FePd4Au at its relaxed geometry.

Summary:
crystal system	orthorhombic
calculated total energy	-5.50	eV/atom
total magnetization	4.076	Bohr magnetons per cell
V	15.38	A^3/atom
N(E_F)	4.0	states/eV/f.u.

```
FePd4Au
1.0
-1.3199 2.4668 -0.1707
-2.9472 -1.4318 2.0975
3.8263 2.5392 7.1096
Fe Pd Au
1 4 1
Cartesian
1.2532 2.5030 3.4695 Fe
-0.1581 0.1571 3.4930 Pd
0.0193 1.6842 1.1768 Pd
1.0373 0.9503 5.7140 Pd
-0.4601 1.8900 7.8596 Pd
-1.4736 -0.7159 1.0487 Au
```


(5)
Density functional theory data (PBE-GGA) for crystalline Fe2Pd8Au at its relaxed geometry.

Summary:
crystal system	orthorhombic
calculated total energy	-5.65	eV/atom
total magnetization	8.907	Bohr magnetons per cell
V	15.65	A^3/atom
relative energy among the computed polymorphs	58.3	meV/atom
N(E_F)	5.8	states/eV/f.u.

```
Fe2Pd8Au
1.0
0.8469 3.5742 -1.8044
0.1583 -3.1952 -6.2548
-6.3590 0.8542 3.3483
Au Fe Pd
1 2 8
Cartesian
0.4235 1.7871 -0.9022 Au
-2.1922 -1.1928 -3.3917 Fe
-3.1616 2.4260 -1.3193 Fe
-1.3331 -0.1706 -5.6045 Pd
-3.9519 0.0170 -1.8211 Pd
-1.8173 0.3239 -0.2114 Pd
0.0485 -0.9798 -1.9180 Pd
-3.5365 0.9093 -4.4996 Pd
-1.4019 1.2162 -2.8899 Pd
-4.0207 1.4038 0.8935 Pd
-5.4023 2.2130 -2.7930 Pd
```


(6)
Density functional theory data (PBE-GGA) for crystalline FePd5Au6 at its relaxed geometry.

Summary:
crystal system	monoclinic
calculated total energy	-4.56	eV/atom
total magnetization	4.000	Bohr magnetons per cell
V	16.47	A^3/atom
N(E_F)	7.9	states/eV/f.u.

```
FePd5Au6
1.0
3.8812 0.0154 -1.1290
-1.1030 7.0921 -3.6948
0.0940 -0.6614 7.5219
Au Fe Pd
6 1 5
Cartesian
2.6544 3.7176 1.9223 Au
3.2074 0.1615 3.7749 Au
1.2090 4.6549 4.1917 Au
1.6633 1.7912 -1.4936 Au
-0.3351 6.2846 -1.0769 Au
0.2179 2.7285 0.7758 Au
0.0000 0.0000 0.0000 Fe
2.4105 0.9218 1.0501 Pd
0.9833 1.9177 3.3882 Pd
-0.5515 3.5460 -1.8474 Pd
1.8890 4.5284 -0.6901 Pd
0.4618 5.5243 1.6480 Pd
```


(7)
Density functional theory data (PBE-GGA) for crystalline FePd3Au2 at its relaxed geometry.

Summary:
crystal system	monoclinic
calculated total energy	-5.12	eV/atom
total magnetization	7.974	Bohr magnetons per cell
V	16.04	A^3/atom
relative energy among the computed polymorphs	0.0	meV/atom
N(E_F)	2.9	states/eV/f.u.

```
FePd3Au2
1.0
5.2195 0.2180 0.8042
-1.3896 6.8174 1.1140
-0.3503 -0.2180 5.2694
Fe Pd Au
2 6 4
Cartesian
-0.6417 5.1130 1.3351 Fe
4.1213 1.7043 5.8526 Fe
2.5576 1.7043 3.9020 Pd
0.9220 5.1130 3.2856 Pd
0.5549 -0.1107 3.7649 Pd
2.8593 3.5194 1.9174 Pd
0.6204 3.2980 5.2702 Pd
2.9248 6.9281 3.4228 Pd
3.4557 4.3300 4.6590 Au
1.7681 0.9213 1.1303 Au
1.7116 5.8961 6.0573 Au
0.0240 2.4874 2.5286 Au
```


(8)
Density functional theory data (PBE-GGA) for crystalline FePd3Au at its relaxed geometry.

Summary:
crystal system	monoclinic
calculated total energy	-5.54	eV/atom
total magnetization	7.787	Bohr magnetons per cell
V	15.39	A^3/atom
relative energy among the computed polymorphs	0.0	meV/atom
N(E_F)	3.4	states/eV/f.u.

```
FePd3Au
1.0
4.6106 0.1480 1.4211
1.3286 4.6103 0.4143
0.2551 0.0591 7.3853
Fe Pd Au
2 6 2
Cartesian
5.0525 4.0209 1.6638 Fe
3.1886 1.7035 5.3730 Fe
1.2683 1.6344 3.4045 Pd
5.0667 1.7766 7.4683 Pd
4.2506 4.0140 4.2848 Pd
3.9918 1.7119 2.7516 Pd
2.3635 3.9442 2.2108 Pd
3.4311 4.0088 6.9532 Pd
2.1049 1.6429 0.6778 Au
1.5272 3.9356 4.9375 Au
```